[1]
3
Lattice="3.805 0.000 0.000 -1.903 3.296 0.000 0.000 0.000 9.450" Properties=species:S:1:pos:R:3 comment="BaPrTm (PBE, optimized geometry)" dft_energy_ev_per_cell=-10.6 mass_density_g_cm3=6.3 polymorph_energy_ev_per_atom=0.014 crystal_system=trigonal formation_energy_mev_per_atom=181.2 total_magnetization_mub_per_cell=0.0 pbc="T T T"
Pr 0.000 2.197 6.064
Ba 0.000 0.000 0.065
Tm 1.903 1.099 3.321


[2]
5
Lattice="4.594 0.000 0.000 0.000 4.430 0.000 0.000 0.000 4.594" Properties=species:S:1:pos:R:3 comment="MgRe2AgB (PBE, optimized geometry)" dft_energy_ev_per_cell=-20.6 mass_density_g_cm3=9.2 crystal_system=tetragonal formation_energy_mev_per_atom=3077.4 total_magnetization_mub_per_cell=0.0 pbc="T T T"
Re 2.297 0.000 0.000
B 2.297 2.215 2.297
Re 0.000 0.000 2.297
Mg 0.000 0.000 0.000
Ag 0.000 2.215 0.000


Repeat the second record exactly.
5
Lattice="4.594 0.000 0.000 0.000 4.430 0.000 0.000 0.000 4.594" Properties=species:S:1:pos:R:3 comment="MgRe2AgB (PBE, optimized geometry)" dft_energy_ev_per_cell=-20.6 mass_density_g_cm3=9.2 crystal_system=tetragonal formation_energy_mev_per_atom=3077.4 total_magnetization_mub_per_cell=0.0 pbc="T T T"
Re 2.297 0.000 0.000
B 2.297 2.215 2.297
Re 0.000 0.000 2.297
Mg 0.000 0.000 0.000
Ag 0.000 2.215 0.000